1:
VASP calculation (PBE) on a geometry-optimized Na2Pt2W structure.

Cell lengths 6.511, 6.511, 4.954 Å; angles 90.00, 90.00, 90.00 degrees
Fractional coordinates of all 10 atoms:
Na 0.173 0.327 0.000
Na 0.327 0.827 0.000
Na 0.673 0.173 0.000
Na 0.827 0.673 0.000
Pt 0.139 0.639 0.500
Pt 0.361 0.139 0.500
Pt 0.639 0.861 0.500
Pt 0.861 0.361 0.500
W 0.000 0.000 0.500
W 0.500 0.500 0.500


2:
VASP calculation (PBE) on a geometry-optimized Na2Pt2W structure.

Cell lengths 3.452, 3.452, 14.802 Å; angles 90.00, 90.00, 90.00 degrees
Fractional coordinates of all 10 atoms:
Na 0.000 0.500 0.250
Na 0.000 0.500 0.750
Na 0.500 0.000 0.250
Na 0.500 0.000 0.750
Pt 0.000 0.000 0.090
Pt 0.000 0.000 0.910
Pt 0.500 0.500 0.410
Pt 0.500 0.500 0.590
W 0.000 0.000 0.500
W 0.500 0.500 0.000


Which structure is most stable, and how do the rest compare? From most to least stable: 1, 2.


1:
VASP calculation (PBE) on a geometry-optimized Na2PtW structure.

Cell lengths 8.615, 8.615, 5.049 Å; angles 90.00, 90.00, 90.00 degrees
Fractional coordinates of all 16 atoms:
Na 0.199 0.250 0.125
Na 0.250 0.699 0.375
Na 0.250 0.801 0.875
Na 0.301 0.250 0.625
Na 0.699 0.750 0.625
Na 0.750 0.199 0.875
Na 0.750 0.301 0.375
Na 0.801 0.750 0.125
Pt 0.000 0.000 0.000
Pt 0.000 0.500 0.250
Pt 0.500 0.000 0.750
Pt 0.500 0.500 0.500
W 0.000 0.000 0.500
W 0.000 0.500 0.750
W 0.500 0.000 0.250
W 0.500 0.500 0.000


2:
VASP calculation (PBE) on a geometry-optimized Na2PtW structure.

Cell lengths 6.778, 6.778, 6.778 Å; angles 90.00, 90.00, 90.00 degrees
Fractional coordinates of all 16 atoms:
Na 0.250 0.250 0.250
Na 0.250 0.250 0.750
Na 0.250 0.750 0.250
Na 0.250 0.750 0.750
Na 0.750 0.250 0.250
Na 0.750 0.250 0.750
Na 0.750 0.750 0.250
Na 0.750 0.750 0.750
Pt 0.000 0.000 0.000
Pt 0.000 0.500 0.500
Pt 0.500 0.000 0.500
Pt 0.500 0.500 0.000
W 0.000 0.000 0.500
W 0.000 0.500 0.000
W 0.500 0.000 0.000
W 0.500 0.500 0.500


Which structure is most stable, and how do the rest compare? From most to least stable: 1, 2.


1:
VASP calculation (PBE) on a geometry-optimized Na3YPt structure.

Cell lengths 6.037, 6.037, 6.037 Å; angles 90.00, 90.00, 90.00 degrees
Fractional coordinates of all 5 atoms:
Na 0.000 0.000 0.500
Na 0.000 0.500 0.000
Na 0.500 0.000 0.000
Y 0.000 0.000 0.000
Pt 0.500 0.500 0.500


2:
VASP calculation (PBE) on a geometry-optimized Na3YPt structure.

Cell lengths 5.374, 5.374, 5.374 Å; angles 90.00, 90.00, 90.00 degrees
Fractional coordinates of all 5 atoms:
Na 0.000 0.000 0.500
Na 0.000 0.500 0.000
Na 0.500 0.000 0.000
Y 0.500 0.500 0.500
Pt 0.000 0.000 0.000


Which structure is most stable, and how do the rest compare? From most to least stable: 2, 1.


1:
VASP calculation (PBE) on a geometry-optimized NaY3Pt structure.

Cell lengths 5.296, 5.296, 5.296 Å; angles 90.00, 90.00, 90.00 degrees
Fractional coordinates of all 5 atoms:
Na 0.000 0.000 0.000
Y 0.000 0.000 0.500
Y 0.000 0.500 0.000
Y 0.500 0.000 0.000
Pt 0.500 0.500 0.500


2:
VASP calculation (PBE) on a geometry-optimized NaY3Pt structure.

Cell lengths 5.537, 5.537, 5.537 Å; angles 90.00, 90.00, 90.00 degrees
Fractional coordinates of all 5 atoms:
Na 0.000 0.000 0.000
Y 0.000 0.500 0.500
Y 0.500 0.000 0.500
Y 0.500 0.500 0.000
Pt 0.500 0.500 0.500


Which structure is most stable, and how do the rest compare? From most to least stable: 2, 1.